[1]
Here is a geometry-optimized DyNb2CrC4 structure from Alexandria via LeMat-Bulk. Energies are from PBE-GGA.

Summary:
For the formation energy, the calculation gives -0.305 eV/atom. The calculation puts the density of states at the Fermi level at 3.13 states/eV/f.u. Its volume is 12.32 Å³/atom. The value obtained for the total energy is -294.8 eV/cell.

Cell lengths 3.2033, 11.1736, 11.0187 Å; angles 90.00, 90.00, 90.00 degrees
Closest atoms and distances in Å follow each position.
Space group Cmcm (No. 63)
One atom of each set of equivalent atoms:
Dy1 0.0000 0.1017 0.2500 [4 per cell]  6 C 2.49-2.63
Nb1 0.0000 0.3702 0.0398 [8 per cell]  3 C 2.11-2.20
Cr1 0.0000 0.1644 0.7500 [4 per cell]  4 C 1.83-1.93
C1 0.0000 0.0000 0.0000 [4 per cell]  4 Nb 2.20
C2 0.0000 0.2647 0.6184 [8 per cell]  1 Cr 1.83
C3 0.0000 0.4316 0.2500 [4 per cell]  2 Cr 1.93



[2]
Here is a geometry-optimized NdDy2Cr2C4 structure from Alexandria via LeMat-Bulk. Energies are from PBE-GGA.

Summary:
For the formation energy, the calculation gives -0.073 eV/atom. The calculation puts the density of states at the Fermi level at 5.00 states/eV/f.u. Its volume is 16.56 Å³/atom. The value obtained for the total energy is -141.5 eV/cell.

Cell lengths 16.1160, 3.4706, 5.3641 Å; angles 90.00, 96.50, 90.00 degrees
Closest atoms and distances in Å follow each position.
Space group C2/m (No. 12)
One atom of each set of equivalent atoms:
Nd1 0.0000 0.0000 0.0000 [2 per cell]  4 C 2.53
Dy1 0.1591 0.0000 0.5803 [4 per cell]  5 C 2.43-2.68
Cr1 0.1905 0.5000 0.0522 [4 per cell]  3 C 1.77-1.98
C1 0.0966 0.5000 0.8460 [4 per cell]  1 Cr 1.77
C2 0.2284 0.0000 0.2007 [4 per cell]  3 Cr 1.98-1.99